The following is a GGA-PBE calculation of a geometry-optimized BaCuBi2H structure, from Alexandria.

Lattice parameters (Å, degrees): 5.1164 5.1164 4.7221 90.00 90.00 90.00
Closest atoms and distances in Å follow each position.
Space group P4/mmm (No. 123)
Symmetry-distinct sites (fractional):
1 Ba 0.0000 0.0000 0.0000 (multiplicity 1)  8 Bi 3.48, 4 Cu 3.62
2 Cu 0.5000 0.5000 0.0000 (multiplicity 1)  2 H 2.36
3 Bi 0.0000 0.5000 0.5000 (multiplicity 2)  2 H 2.56
4 H 0.5000 0.5000 0.5000 (multiplicity 1)  2 Cu 2.36, 4 Bi 2.56

VASP energy = -16.7 eV for the cell shown
D(E_F) = 0.334 states/eV/atom